## Zn2InHg (PBE-GGA)

Data for an optimized crystal structure of Zn2InHg.

Results
- Fermi-level density of states (states/eV per atom) = 0.2705
- offset from the most stable computed form (meV/atom) = 29
- formation enthalpy at 0 K (eV/f.u.) = 0.5

```
Zn2InHg
1.0
3.4722 0.0000 0.0000
0.0000 4.2489 0.0000
0.0000 0.0000 5.6304
Zn In Hg
2 1 1
Cartesian
0.0000 0.0000 0.0000
1.7361 2.1245 1.4696
1.7361 2.1245 4.3443
0.0000 0.0000 2.6923
```

---

## ZnIn8Hg6 (PBE-GGA)

Data for an optimized crystal structure of ZnIn8Hg6.

Results
- Fermi-level density of states (states/eV per atom) = 0.2083
- formation enthalpy at 0 K (eV/f.u.) = 0.7

```
ZnIn8Hg6
1.0
4.1802 2.4135 6.8541
-4.1802 2.4135 6.8541
0.0000 -4.8269 6.8541
Zn In Hg
1 8 6
Cartesian
0.0000 0.0000 0.0000
-1.5961 -2.2851 9.3194
-2.7770 0.2397 11.2429
0.0000 0.0000 6.7790
-1.1809 2.5247 9.3194
1.1809 -2.5248 11.2429
0.0000 0.0000 13.7833
2.7769 -0.2397 9.3194
1.5960 2.2851 11.2429
-2.8170 0.2553 8.1023
-1.6296 -2.3119 12.4600
1.1874 -2.5672 8.1023
-1.1874 2.5672 12.4600
1.6296 2.3119 8.1023
2.8170 -0.2553 12.4600
```

---

Listing magnetic moment for the structures above in their given order: 0.000 0.000 μB per cell.